1.
ErAl8Cu4 | PBE-GGA | optimized geometry

abc: 6.737 6.737 6.737
angles: 98.27 98.27 135.42
Fractional coordinates of all 13 atoms:
1 Er 0.000 0.000 0.000
2 Al 0.000 0.347 0.347
3 Al 0.000 0.653 0.653
4 Al 0.653 0.000 0.653
5 Al 0.347 0.000 0.347
6 Al 0.500 0.282 0.782
7 Al 0.500 0.718 0.218
8 Al 0.718 0.500 0.218
9 Al 0.282 0.500 0.782
10 Cu 0.000 0.000 0.500
11 Cu 0.500 0.500 0.500
12 Cu 0.500 0.000 0.000
13 Cu 0.000 0.500 0.000

Output
- Fermi-level density of states: 0.22 states/eV per atom
- E: -54.82 eV/cell
- Space group: I4/mmm (139)



2.
Er3Al2Cu4 | PBE-GGA | optimized geometry

abc: 4.200 5.349 8.323
angles: 98.02 90.00 113.11
Fractional coordinates of all 9 atoms:
1 Er 0.374 0.749 0.619
2 Er 0.000 0.000 0.000
3 Er 0.626 0.251 0.381
4 Al 0.316 0.633 0.225
5 Al 0.684 0.367 0.775
6 Cu 0.725 0.449 0.079
7 Cu 0.081 0.162 0.637
8 Cu 0.919 0.838 0.363
9 Cu 0.275 0.551 0.921

Output
- Fermi-level density of states: 0.63 states/eV per atom
- E: -40.82 eV/cell
- Space group: C2/m (12)



3.
ErAl2Cu | PBE-GGA | optimized geometry

abc: 3.089 3.089 9.304
angles: 80.44 80.44 60.00
Fractional coordinates of all 4 atoms:
1 Al 0.737 0.737 0.790
2 Al 0.263 0.263 0.210
3 Cu 0.000 0.000 0.000
4 Er 0.500 0.500 0.500

Output
- Fermi-level density of states: 0.64 states/eV per atom
- E: -16.01 eV/cell
- Space group: R-3m (166)



Question: The lowest Fermi-level density of states belongs to which entry?
Answer: ErAl8Cu4